# ScTi2VAs | Alexandria | PBE | optimized geometry
# Total magnetization: 0.00 Bohr magnetons per cell
# Mass density: 4.33 g cm⁻³
# Energy relative to the elements: 0.177 eV/atom
# D(E_F): 7.06 states/eV/f.u.
# Calculated total energy: -7.0012 eV per atom
data_ScTi2VAs
_space_group_name_H-M_alt 'P 1'
_space_group_IT_number 1
_cell_length_a 4.731
_cell_length_b 4.731
_cell_length_c 4.564
_cell_angle_alpha 90.00
_cell_angle_beta 90.00
_cell_angle_gamma 90.00
loop_
_space_group_symop_operation_xyz
'x,y,z'
loop_
_atom_site_label
_atom_site_type_symbol
_atom_site_fract_x
_atom_site_fract_y
_atom_site_fract_z
_atom_site_occupancy
Sc1 Sc 0.000 0.000 0.000 1
Ti1 Ti 0.000 0.500 0.500 1
Ti2 Ti 0.500 0.000 0.500 1
V1 V 0.500 0.500 0.000 1
As1 As 0.500 0.500 0.500 1

# ScTiV2As | Alexandria | PBE | optimized geometry
# Total magnetization: 0.73 Bohr magnetons per cell
# Mass density: 4.56 g cm⁻³
# Energy relative to the elements: 0.326 eV/atom
# D(E_F): 6.70 states/eV/f.u.
# Calculated total energy: -7.0966 eV per atom
data_ScTiV2As
_space_group_name_H-M_alt 'P 1'
_space_group_IT_number 1
_cell_length_a 4.562
_cell_length_b 4.562
_cell_length_c 4.722
_cell_angle_alpha 90.00
_cell_angle_beta 90.00
_cell_angle_gamma 90.00
loop_
_space_group_symop_operation_xyz
'x,y,z'
loop_
_atom_site_label
_atom_site_type_symbol
_atom_site_fract_x
_atom_site_fract_y
_atom_site_fract_z
_atom_site_occupancy
Sc1 Sc 0.000 0.000 0.000 1
Ti1 Ti 0.500 0.500 0.000 1
V1 V 0.000 0.500 0.500 1
V2 V 0.500 0.000 0.500 1
As1 As 0.500 0.500 0.500 1

# Sc3TlAs | Alexandria | PBE | optimized geometry
# Total magnetization: 0.00 Bohr magnetons per cell
# Mass density: 4.65 g cm⁻³
# Energy relative to the elements: 0.373 eV/atom
# D(E_F): 6.41 states/eV/f.u.
# Calculated total energy: -4.8294 eV per atom
data_Sc3TlAs
_space_group_name_H-M_alt 'P 1'
_space_group_IT_number 1
_cell_length_a 5.290
_cell_length_b 5.290
_cell_length_c 5.290
_cell_angle_alpha 90.00
_cell_angle_beta 90.00
_cell_angle_gamma 90.00
loop_
_space_group_symop_operation_xyz
'x,y,z'
loop_
_atom_site_label
_atom_site_type_symbol
_atom_site_fract_x
_atom_site_fract_y
_atom_site_fract_z
_atom_site_occupancy
Sc1 Sc 0.000 0.000 0.500 1
Sc2 Sc 0.000 0.500 0.000 1
Sc3 Sc 0.500 0.000 0.000 1
Tl1 Tl 0.000 0.000 0.000 1
As1 As 0.500 0.500 0.500 1

# ScTl2As2 | Alexandria | PBE | optimized geometry
# Total magnetization: 0.00 Bohr magnetons per cell
# Mass density: 7.70 g cm⁻³
# Energy relative to the elements: -0.276 eV/atom
# D(E_F): 2.35 states/eV/f.u.
# Calculated total energy: -4.3491 eV per atom
data_ScTl2As2
_space_group_name_H-M_alt 'P 1'
_space_group_IT_number 1
_cell_length_a 6.932
_cell_length_b 6.932
_cell_length_c 5.416
_cell_angle_alpha 90.00
_cell_angle_beta 90.00
_cell_angle_gamma 90.00
loop_
_space_group_symop_operation_xyz
'x,y,z'
loop_
_atom_site_label
_atom_site_type_symbol
_atom_site_fract_x
_atom_site_fract_y
_atom_site_fract_z
_atom_site_occupancy
Sc1 Sc 0.000 0.000 0.000 1
Sc2 Sc 0.500 0.500 0.000 1
Tl1 Tl 0.193 0.307 0.500 1
Tl2 Tl 0.307 0.807 0.500 1
Tl3 Tl 0.693 0.193 0.500 1
Tl4 Tl 0.807 0.693 0.500 1
As1 As 0.126 0.626 0.000 1
As2 As 0.374 0.126 0.000 1
As3 As 0.626 0.874 0.000 1
As4 As 0.874 0.374 0.000 1

# ScTl2As2 | Alexandria | PBE | optimized geometry
# Total magnetization: 0.00 Bohr magnetons per cell
# Mass density: 7.63 g cm⁻³
# Energy relative to the elements: -0.106 eV/atom
# D(E_F): 2.65 states/eV/f.u.
# Calculated total energy: -4.1782 eV per atom
data_ScTl2As2
_space_group_name_H-M_alt 'P 1'
_space_group_IT_number 1
_cell_length_a 8.362
_cell_length_b 8.362
_cell_length_c 8.362
_cell_angle_alpha 151.67
_cell_angle_beta 151.67
_cell_angle_gamma 40.50
loop_
_space_group_symop_operation_xyz
'x,y,z'
loop_
_atom_site_label
_atom_site_type_symbol
_atom_site_fract_x
_atom_site_fract_y
_atom_site_fract_z
_atom_site_occupancy
Sc1 Sc 0.000 0.000 0.000 1
Tl1 Tl 0.250 0.750 0.500 1
Tl2 Tl 0.750 0.250 0.500 1
As1 As 0.422 0.422 0.000 1
As2 As 0.578 0.578 0.000 1

# ScTl2As | Alexandria | PBE | optimized geometry
# Total magnetization: 0.00 Bohr magnetons per cell
# Mass density: 8.37 g cm⁻³
# Energy relative to the elements: -0.429 eV/atom
# D(E_F): 1.28 states/eV/f.u.
# Calculated total energy: -4.3574 eV per atom
data_ScTl2As
_space_group_name_H-M_alt 'P 1'
_space_group_IT_number 1
_cell_length_a 3.751
_cell_length_b 3.764
_cell_length_c 7.432
_cell_angle_alpha 90.00
_cell_angle_beta 90.19
_cell_angle_gamma 90.00
loop_
_space_group_symop_operation_xyz
'x,y,z'
loop_
_atom_site_label
_atom_site_type_symbol
_atom_site_fract_x
_atom_site_fract_y
_atom_site_fract_z
_atom_site_occupancy
Sc1 Sc 0.000 0.000 0.000 1
Tl1 Tl 0.001 0.000 0.422 1
Tl2 Tl 0.501 0.500 0.685 1
As1 As 0.501 0.500 0.075 1

# ScTl2As | Alexandria | PBE | optimized geometry
# Total magnetization: 0.00 Bohr magnetons per cell
# Mass density: 8.84 g cm⁻³
# Energy relative to the elements: 0.106 eV/atom
# D(E_F): 3.66 states/eV/f.u.
# Calculated total energy: -3.8220 eV per atom
data_ScTl2As
_space_group_name_H-M_alt 'P 1'
_space_group_IT_number 1
_cell_length_a 5.197
_cell_length_b 5.197
_cell_length_c 5.197
_cell_angle_alpha 60.00
_cell_angle_beta 60.00
_cell_angle_gamma 60.00
loop_
_space_group_symop_operation_xyz
'x,y,z'
loop_
_atom_site_label
_atom_site_type_symbol
_atom_site_fract_x
_atom_site_fract_y
_atom_site_fract_z
_atom_site_occupancy
Sc1 Sc 0.000 0.000 0.000 1
Tl1 Tl 0.250 0.250 0.250 1
Tl2 Tl 0.750 0.750 0.750 1
As1 As 0.500 0.500 0.500 1

# ScTl2As | Alexandria | PBE | optimized geometry
# Total magnetization: 0.00 Bohr magnetons per cell
# Mass density: 8.91 g cm⁻³
# Energy relative to the elements: 0.162 eV/atom
# D(E_F): 3.75 states/eV/f.u.
# Calculated total energy: -3.7659 eV per atom
data_ScTl2As
_space_group_name_H-M_alt 'P 1'
_space_group_IT_number 1
_cell_length_a 3.308
_cell_length_b 3.308
_cell_length_c 9.641
_cell_angle_alpha 90.00
_cell_angle_beta 90.00
_cell_angle_gamma 110.85
loop_
_space_group_symop_operation_xyz
'x,y,z'
loop_
_atom_site_label
_atom_site_type_symbol
_atom_site_fract_x
_atom_site_fract_y
_atom_site_fract_z
_atom_site_occupancy
Sc1 Sc 0.000 0.000 0.000 1
Tl1 Tl 0.500 0.500 0.254 1
Tl2 Tl 0.500 0.500 0.746 1
As1 As 0.000 0.000 0.500 1